Record 1
First-principles (PBE) data for a relaxed GeAuI3 crystal, as listed in Alexandria via LeMat-Bulk.

Calculated values
energy relative to the lowest polymorph listed for this composition = 0 meV per atom
uncorrected energy = -2.6850 eV per atom

abc: 22.8559 4.4258 8.2879
angles: 90.00 110.63 90.00
Space group C2/m (No. 12)
Unique sites:
1 Ge 0.1676 0.0000 0.4933 x4
2 Au 0.0192 0.5000 0.6925 x4
3 I 0.0912 0.5000 0.2573 x4
4 I 0.0946 0.0000 0.7389 x4
5 I 0.2482 0.5000 0.7173 x4

=====

Record 2
First-principles (PBE) data for a relaxed Ge2AuI8 crystal, as listed in Alexandria via LeMat-Bulk.

Calculated values
uncorrected energy = -2.3891 eV per atom

abc: 14.3599 9.9557 7.4860
angles: 90.00 91.35 90.00
Space group C2/m (No. 12)
Unique sites:
1 Ge 0.1913 0.0000 0.1682 x4
2 Au 0.0000 0.0000 0.5000 x2
3 I 0.1188 0.2091 0.3381 x8
4 I 0.1289 0.5000 0.7920 x4
5 I 0.1358 0.0000 0.8325 x4

=====

Record 3
First-principles (PBE) data for a relaxed Ge2AuI6 crystal, as listed in Alexandria via LeMat-Bulk.

Calculated values
uncorrected energy = -2.5948 eV per atom

abc: 14.7325 13.8853 10.1004
angles: 90.00 110.31 90.00
Space group C2/c (No. 15)
Unique sites:
1 Ge 0.1953 0.0763 0.2204 x8
2 Au 0.0000 0.2733 0.2500 x4
3 I 0.1169 0.4174 0.6912 x8
4 I 0.1429 0.0013 0.4454 x8
5 I 0.1585 0.2753 0.1952 x8

=====

Record 4
First-principles (PBE) data for a relaxed GeAuI4 crystal, as listed in Alexandria via LeMat-Bulk.

Calculated values
uncorrected energy = -2.4784 eV per atom

abc: 8.2487 16.8489 7.9561
angles: 90.00 120.35 90.00
Space group C2/c (No. 15)
Unique sites:
1 Ge 0.0000 0.1864 0.2500 x4
2 Au 0.0000 0.3100 0.7500 x4
3 I 0.2017 0.1874 0.6983 x8
4 I 0.2274 0.4272 0.7297 x8

=====

Record 5
First-principles (PBE) data for a relaxed Ge5Au12I3 crystal, as listed in Alexandria via LeMat-Bulk.

Calculated values
uncorrected energy = -3.1257 eV per atom

abc: 16.0684 16.0684 16.0684
angles: 90.00 90.00 90.00
Space group Ia-3d (No. 230)
Unique sites:
1 Ge 0.0000 0.0000 0.0000 x16
2 Ge 0.0000 0.2500 0.3750 x24
3 Au 0.0513 0.0723 0.6337 x96
4 I 0.0000 0.2500 0.1250 x24

=====

Record 6
First-principles (PBE) data for a relaxed GeAu2I crystal, as listed in Alexandria via LeMat-Bulk.

Calculated values
energy relative to the lowest polymorph listed for this composition = 435 meV per atom
uncorrected energy = -2.6483 eV per atom

abc: 7.1267 7.1267 7.1267
angles: 90.00 90.00 90.00
Space group Fm-3m (No. 225)
Unique sites:
1 Ge 0.0000 0.0000 0.0000 x4
2 Au 0.2500 0.2500 0.2500 x8
3 I 0.0000 0.0000 0.5000 x4

=====

Record 7
First-principles (PBE) data for a relaxed Ge3AuI crystal, as listed in Alexandria via LeMat-Bulk.

Calculated values
energy relative to the lowest polymorph listed for this composition = 0 meV per atom
uncorrected energy = -3.1985 eV per atom

abc: 5.1758 5.1758 5.1758
angles: 90.00 90.00 90.00
Space group Pm-3m (No. 221)
Unique sites:
1 Ge 0.0000 0.0000 0.5000 x3
2 Au 0.0000 0.0000 0.0000 x1
3 I 0.5000 0.5000 0.5000 x1

=====

Record 8
First-principles (PBE) data for a relaxed GeAu2I4 crystal, as listed in Alexandria via LeMat-Bulk.

Calculated values
uncorrected energy = -2.5272 eV per atom

abc: 6.5497 6.5497 12.7911
angles: 90.00 90.00 90.00
Space group I-42m (No. 121)
Unique sites:
1 Ge 0.0000 0.0000 0.0000 x2
2 Au 0.0000 0.5000 0.2500 x4
3 I 0.2347 0.2347 0.6241 x8

=====

Record 9
First-principles (PBE) data for a relaxed La6Ge2AuI3 crystal, as listed in Alexandria via LeMat-Bulk.

Calculated values
uncorrected energy = -4.9136 eV per atom

abc: 7.8061 13.5117 7.9763
angles: 90.00 109.14 90.00
Space group C2/m (No. 12)
Unique sites:
1 La 0.2318 0.0000 0.2133 x4
2 La 0.2391 0.3311 0.2118 x8
3 Ge 0.0000 0.1663 0.0000 x4
4 Au 0.0000 0.5000 0.0000 x2
5 I 0.0000 0.0000 0.5000 x2
6 I 0.0000 0.3315 0.5000 x4

=====

Record 10
First-principles (PBE) data for a relaxed Nd8Ge3AuI4 crystal, as listed in Alexandria via LeMat-Bulk.

Calculated values
uncorrected energy = -4.8043 eV per atom

abc: 8.7804 8.7804 22.7126
angles: 90.00 90.00 120.00
Space group R-3m (No. 166, hexagonal axes)
Unique sites:
1 Nd 0.0000 0.0000 0.2340 x6
2 Nd 0.0024 0.5012 0.7651 x18
3 Ge 0.0000 0.5000 0.5000 x9
4 Au 0.0000 0.0000 0.5000 x3
5 I 0.0000 0.0000 0.0000 x3
6 I 0.0000 0.5000 0.0000 x9

=====

Record 11
First-principles (PBE) data for a relaxed GeAuIO2 crystal, as listed in Alexandria via LeMat-Bulk.

Calculated values
energy relative to the lowest polymorph listed for this composition = 0 meV per atom
uncorrected energy = -4.1532 eV per atom

abc: 3.8231 3.8231 6.8801
angles: 90.00 90.00 90.00
Space group P4/mmm (No. 123)
Unique sites:
1 Ge 0.0000 0.0000 0.0000 x1
2 Au 0.5000 0.5000 0.5000 x1
3 I 0.0000 0.0000 0.5000 x1
4 O 0.0000 0.5000 0.0000 x2

=====

Record 12
First-principles (PBE) data for a relaxed GeAuIO2 crystal, as listed in Alexandria via LeMat-Bulk.

Calculated values
energy relative to the lowest polymorph listed for this composition = 794 meV per atom
uncorrected energy = -3.3590 eV per atom

abc: 4.2186 4.2186 5.5392
angles: 90.00 90.00 90.00
Space group P4/mmm (No. 123)
Unique sites:
1 Ge 0.0000 0.0000 0.0000 x1
2 Au 0.5000 0.5000 0.5000 x1
3 I 0.5000 0.5000 0.0000 x1
4 O 0.0000 0.5000 0.5000 x2

=====

Record 13
First-principles (PBE) data for a relaxed Ge2PAuI crystal, as listed in Alexandria via LeMat-Bulk.

Calculated values
uncorrected energy = -3.1386 eV per atom

abc: 4.9604 4.9604 5.2228
angles: 90.00 90.00 90.00
Space group P4/mmm (No. 123)
Unique sites:
1 Ge 0.0000 0.5000 0.0000 x2
2 P 0.0000 0.0000 0.0000 x1
3 Au 0.5000 0.5000 0.5000 x1
4 I 0.0000 0.0000 0.5000 x1

=====

Record 14
First-principles (PBE) data for a relaxed Ge2PbAuI crystal, as listed in Alexandria via LeMat-Bulk.

Calculated values
uncorrected energy = -2.5485 eV per atom

abc: 5.5893 5.5893 5.9691
angles: 90.00 90.00 90.00
Space group P4/mmm (No. 123)
Unique sites:
1 Ge 0.0000 0.5000 0.0000 x2
2 Pb 0.0000 0.0000 0.0000 x1
3 Au 0.5000 0.5000 0.5000 x1
4 I 0.0000 0.0000 0.5000 x1

=====

Record 15
First-principles (PBE) data for a relaxed Ge2PdAuI crystal, as listed in Alexandria via LeMat-Bulk.

Calculated values
uncorrected energy = -3.3323 eV per atom

abc: 4.9336 4.9336 5.3483
angles: 90.00 90.00 90.00
Space group P4/mmm (No. 123)
Unique sites:
1 Ge 0.0000 0.5000 0.0000 x2
2 Pd 0.0000 0.0000 0.5000 x1
3 Au 0.0000 0.0000 0.0000 x1
4 I 0.5000 0.5000 0.5000 x1

=====

Record 16
First-principles (PBE) data for a relaxed Pr8Ge3AuI4 crystal, as listed in Alexandria via LeMat-Bulk.

Calculated values
uncorrected energy = -4.8176 eV per atom

abc: 8.8411 8.8411 22.8820
angles: 90.00 90.00 120.00
Space group R-3m (No. 166, hexagonal axes)
Unique sites:
1 Pr 0.0000 0.0000 0.2343 x6
2 Pr 0.0031 0.5015 0.7647 x18
3 Ge 0.0000 0.5000 0.5000 x9
4 Au 0.0000 0.0000 0.5000 x3
5 I 0.0000 0.0000 0.0000 x3
6 I 0.0000 0.5000 0.0000 x9

=====

Record 17
First-principles (PBE) data for a relaxed RbGeAuI2 crystal, as listed in Alexandria via LeMat-Bulk.

Calculated values
uncorrected energy = -2.9585 eV per atom

abc: 6.1476 6.1476 4.9160
angles: 90.00 90.00 90.00
Space group P4/mmm (No. 123)
Unique sites:
1 Rb 0.0000 0.0000 0.0000 x1
2 Ge 0.5000 0.5000 0.5000 x1
3 Au 0.5000 0.5000 0.0000 x1
4 I 0.0000 0.5000 0.5000 x2

=====

Record 18
First-principles (PBE) data for a relaxed Rb3Ge2AuI9 crystal, as listed in Alexandria via LeMat-Bulk.

Calculated values
uncorrected energy = -2.6562 eV per atom

abc: 8.3312 8.3312 10.1982
angles: 90.00 90.00 120.00
Space group P-3m1 (No. 164)
Unique sites:
1 Rb 0.0000 0.0000 0.0000 x1
2 Rb 0.3333 0.6667 0.6682 x2
3 Ge 0.3333 0.6667 0.1750 x2
4 Au 0.0000 0.0000 0.5000 x1
5 I 0.0000 0.5000 0.0000 x3
6 I 0.1663 0.3326 0.3330 x6

=====

Record 19
First-principles (PBE) data for a relaxed GeSb2AuI crystal, as listed in Alexandria via LeMat-Bulk.

Calculated values
energy relative to the lowest polymorph listed for this composition = 0 meV per atom
uncorrected energy = -2.8130 eV per atom

abc: 5.4012 5.4012 5.5995
angles: 90.00 90.00 90.00
Space group P4/mmm (No. 123)
Unique sites:
1 Ge 0.0000 0.0000 0.0000 x1
2 Sb 0.0000 0.5000 0.5000 x2
3 Au 0.5000 0.5000 0.5000 x1
4 I 0.5000 0.5000 0.0000 x1

=====

Record 20
First-principles (PBE) data for a relaxed GeSbAuI2 crystal, as listed in Alexandria via LeMat-Bulk.

Calculated values
energy relative to the lowest polymorph listed for this composition = 0 meV per atom
uncorrected energy = -2.4184 eV per atom

abc: 5.5496 5.5496 5.5426
angles: 90.00 90.00 90.00
Space group P4/mmm (No. 123)
Unique sites:
1 Ge 0.0000 0.0000 0.0000 x1
2 Sb 0.5000 0.5000 0.0000 x1
3 Au 0.5000 0.5000 0.5000 x1
4 I 0.0000 0.5000 0.5000 x2

=====

So what do the calculations give for M_tot? Going down the list: 0.00; 0.00; 0.00; 0.00; 0.00; 0.00; 0.00; 0.00; 0.00; 0.00; 0.02; 0.08; 0.00; 0.00; 0.00; 0.00; 0.00; 0.00; 0.08; 0.00 μB/atom.